No. 1
MoAsP2 | GGA-PBE | relaxed

Output
**Formation enthalpy at 0 K**: 13 kJ/mol of formula units
**DOS at the Fermi energy**: 4.4 states/eV per cell
**Total energy**: -78.5 eV/cell
**Calculated density**: 6.028 g/cm³

Cell lengths 3.1710, 3.1710, 22.0922 Å; angles 90.00, 90.00, 120.00 degrees
Space group R-3m (No. 166, hexagonal axes)
Inequivalent atoms, fractional coordinates:
Mo 0.0000 0.0000 0.0000 [3 per cell]
As 0.0000 0.0000 0.5000 [3 per cell]
P 0.0000 0.0000 0.2581 [6 per cell]

---

No. 2
Mg3Cu2Se | GGA-PBE | relaxed

Output
**DOS at the Fermi energy**: 4.7 states/eV per cell
**Total energy**: -67.6 eV/cell
**Polymorph energy (0 for the lowest one)**: 194 meV per atom
**Calculated density**: 3.569 g/cm³
**Energy relative to the elements, uncorrected**: -42 kJ/mol of formula units

Cell lengths 7.3695, 15.2122, 4.6312 Å; angles 90.00, 90.00, 90.00 degrees
Space group Cmcm (No. 63)
Inequivalent atoms, fractional coordinates:
Mg 0.0000 0.1358 0.2500 [4 per cell]
Mg 0.2075 0.3544 0.2500 [8 per cell]
Cu 0.1741 0.0000 0.0000 [8 per cell]
Se 0.0000 0.2666 0.7500 [4 per cell]

---

No. 3
CePmNiRh | GGA-PBE | relaxed

Output
**Formation enthalpy at 0 K**: -206 kJ/mol of formula units
**DOS at the Fermi energy**: 10.1 states/eV per cell
**Total energy**: -51.9 eV/cell
**Polymorph energy (0 for the lowest one)**: 0 meV per atom
**Calculated density**: 8.573 g/cm³

Cell lengths 4.4842, 3.7869, 10.1910 Å; angles 90.00, 90.00, 90.00 degrees
Space group Amm2 (No. 38)
Inequivalent atoms, fractional coordinates:
Ce 0.0000 0.0000 0.0000 [2 per cell]
Pm 0.5000 0.0000 0.7226 [2 per cell]
Ni 0.5000 0.0000 0.4446 [2 per cell]
Rh 0.0000 0.0000 0.2741 [2 per cell]